Entry 1:
The following is a PBE calculation of TaZnH after structural relaxation, from Alexandria.

Properties
- Crystal system: orthorhombic
- Total moment: 0.00 μB per atom
- Distance to the lowest polymorph of the same formula: 40 meV per atom
- Space group: No. 62

a b c (Å): 6.778 3.718 5.362
angles (deg): 90.00 90.00 90.00
Atoms (fractional coordinates):
Ta  0.163  0.750  0.890
Zn  0.458  0.250  0.874
H  0.128  0.250  0.053
H  0.372  0.750  0.553
Ta  0.837  0.250  0.110
Ta  0.337  0.250  0.390
Zn  0.958  0.250  0.626
H  0.872  0.750  0.947
Zn  0.042  0.750  0.374
Zn  0.542  0.750  0.126
H  0.628  0.250  0.447
Ta  0.663  0.750  0.610


Entry 2:
The following is a PBE calculation of LaHIr2I after structural relaxation, from Alexandria.

Properties
- Crystal system: tetragonal
- E_tot: -5.256 eV/atom
- Total moment: 0.00 μB per atom
- Space group: No. 123

a b c (Å): 4.243 4.910 4.243
angles (deg): 90.00 90.00 90.00
Atoms (fractional coordinates):
I  0.000  0.500  0.000
La  0.500  0.500  0.500
Ir  0.000  0.000  0.500
H  0.000  0.000  0.000
Ir  0.500  0.000  0.000


Entry 3:
The following is a PBE calculation of MgCo2Pt after structural relaxation, from Alexandria.

Properties
- Crystal system: tetragonal
- Formation enthalpy at 0 K: -0.50 eV/f.u.
- Total moment: 0.87 μB per atom
- Space group: No. 139

a b c (Å): 4.764 4.764 4.764
angles (deg): 134.38 134.36 66.51
Each line ends with the local moment (μB).
Atoms (fractional coordinates):
Pt  0.250  0.750  0.500  0.22
Co  0.000  0.000  0.000  1.72
Co  0.500  0.500  0.000  1.72
Mg  0.750  0.250  0.500  -0.03


Entry 4:
The following is a PBE calculation of La2Cu5Ge3 after structural relaxation, from Alexandria.

Properties
- Crystal system: orthorhombic
- Formation enthalpy at 0 K: -4.55 eV/f.u.
- Total moment: 0.00 μB per atom
- Distance to the lowest polymorph of the same formula: 0 meV per atom
- Space group: No. 72

a b c (Å): 6.088 8.368 8.368
angles (deg): 72.81 68.67 68.67
Atoms (fractional coordinates):
La  0.625  0.125  0.626
Cu  0.624  0.753  0.998
Cu  0.750  0.500  0.500
Cu  0.376  0.247  0.002
Ge  0.750  0.000  0.000
Ge  0.250  0.000  0.000
Cu  0.993  0.257  0.257
Ge  0.126  0.240  0.508
La  0.875  0.374  0.875
La  0.375  0.875  0.374
La  0.125  0.626  0.125
Cu  0.507  0.743  0.743
Cu  0.876  0.002  0.247
Cu  0.124  0.998  0.753
Ge  0.374  0.492  0.760
Cu  0.493  0.257  0.257
Ge  0.626  0.508  0.240
Cu  0.250  0.500  0.500
Ge  0.874  0.760  0.492
Cu  0.007  0.743  0.743